DFT (PBE) results for an optimized crystal structure of YReIr2Br.

Results
spin magnetization = 0.000 μB/f.u.
total energy = -7.019 eV per atom
space-group type = P4/mmm, No. 123
formation energy without anion corrections = 0.6420 eV/atom
calculated density = 10.70 Mg/m³

abc: 4.777 5.032 4.777
angles: 90.00 90.00 90.00
Fractional positions:
Br 0.000 0.500 0.000
Re 0.000 0.000 0.000
Ir 0.000 0.000 0.500
Ir 0.500 0.000 0.000
Y 0.500 0.500 0.500